# Tl2CdSn2, optimized geometry, DFT PBE
# Uncorrected energy = -2.62 eV per atom
# Crystal system = tetragonal
# Polymorph energy (0 for the lowest one) = 0.061 eV per atom
# Fermi-level density of states = 2.4 states/eV/f.u.
data_Tl2CdSn2
_space_group_name_H-M_alt 'I 4/m m m'
_space_group_IT_number 139
_space_group_name_Hall '-I 4 2'
_cell_length_a 4.2429
_cell_length_b 4.2429
_cell_length_c 17.5667
_cell_angle_alpha 90.00
_cell_angle_beta 90.00
_cell_angle_gamma 90.00
loop_
_atom_site_label
_atom_site_fract_x
_atom_site_fract_y
_atom_site_fract_z
_atom_site_occupancy
Tl1 0.0000 0.0000 0.0980 1
Cd1 0.0000 0.0000 0.5000 1
Sn1 0.0000 0.5000 0.2500 1

# Ac2InPb3, optimized geometry, DFT PBE
# Uncorrected energy = -4.03 eV per atom
# Crystal system = orthorhombic
# Fermi-level density of states = 4.7 states/eV/f.u.
data_Ac2InPb3
_space_group_name_H-M_alt 'P m m 2'
_space_group_IT_number 25
_cell_length_a 4.0015
_cell_length_b 5.4508
_cell_length_c 9.4012
_cell_angle_alpha 90.00
_cell_angle_beta 90.00
_cell_angle_gamma 90.00
loop_
_space_group_symop_operation_xyz
'x,y,z'
'-x,-y,z'
'-x,y,z'
'x,-y,z'
loop_
_atom_site_label
_atom_site_fract_x
_atom_site_fract_y
_atom_site_fract_z
_atom_site_occupancy
Ac1 0.0000 0.0000 0.0000 1
Ac2 0.0000 0.5000 0.4961 1
In1 0.5000 0.0000 0.3290 1
Pb1 0.5000 0.0000 0.6581 1
Pb2 0.5000 0.5000 0.1710 1
Pb3 0.5000 0.5000 0.8329 1

# CaZrPb3, optimized geometry, DFT PBE
# Uncorrected energy = -4.28 eV per atom
# Crystal system = cubic
# Polymorph energy (0 for the lowest one) = 0.000 eV per atom
# Fermi-level density of states = 1.5 states/eV/f.u.
data_CaZrPb3
_space_group_name_H-M_alt 'P m -3 m'
_space_group_IT_number 221
_space_group_name_Hall '-P 4 2 3'
_cell_length_a 5.6631
_cell_length_b 5.6631
_cell_length_c 5.6631
_cell_angle_alpha 90.00
_cell_angle_beta 90.00
_cell_angle_gamma 90.00
loop_
_atom_site_label
_atom_site_fract_x
_atom_site_fract_y
_atom_site_fract_z
_atom_site_occupancy
Ca1 0.0000 0.0000 0.0000 1
Zr1 0.5000 0.5000 0.5000 1
Pb1 0.0000 0.5000 0.5000 1

no.,E_form (eV per atom)
1,0.1128
2,-0.3519
3,0.0598